Record 1
Compound: Be4PdRu2
Source: the Alexandria database
Functional: PBE-GGA
Structure: optimized geometry

Cell: 3.9750 3.9750 11.5908 Å, 90.00 90.00 90.00°
Space group I4/mmm (No. 139)
Symmetry-distinct sites (fractional):
1 Be 0.0000 0.0000 0.1914 [4 per cell]
2 Be 0.0000 0.5000 0.0000 [4 per cell]
3 Pd 0.0000 0.0000 0.0000 [2 per cell]
4 Ru 0.0000 0.0000 0.3784 [4 per cell]

volume	13.082	A^3/atom
ΔH_f (0 K)	500	meV/atom


Record 2
Compound: Hf3TiPb2
Source: the Alexandria database
Functional: PBE-GGA
Structure: optimized geometry

Cell: 3.1039 3.1667 14.1721 Å, 90.00 90.00 90.00°
Space group Pmm2 (No. 25)
Symmetry-distinct sites (fractional):
1 Hf 0.0000 0.0000 0.0000 [1 per cell]
2 Hf 0.0000 0.0000 0.3331 [1 per cell]
3 Hf 0.0000 0.5000 0.8214 [1 per cell]
4 Ti 0.0000 0.5000 0.5012 [1 per cell]
5 Pb 0.5000 0.0000 0.6547 [1 per cell]
6 Pb 0.5000 0.5000 0.1665 [1 per cell]

volume	23.217	A^3/atom
offset from the most stable computed form	227.7	meV/atom
ΔH_f (0 K)	264	meV/atom


Record 3
Compound: Tb3Zn9Cd2
Source: the Alexandria database
Functional: PBE-GGA
Structure: optimized geometry

Cell: 4.4890 8.8903 13.3785 Å, 90.00 90.00 90.00°
Space group Immm (No. 71)
Symmetry-distinct sites (fractional):
1 Tb 0.0000 0.0000 0.0000 [2 per cell]
2 Tb 0.0000 0.0000 0.2894 [4 per cell]
3 Zn 0.0000 0.2796 0.1431 [8 per cell]
4 Zn 0.0000 0.3616 0.3367 [8 per cell]
5 Zn 0.0000 0.5000 0.0000 [2 per cell]
6 Cd 0.0000 0.1864 0.5000 [4 per cell]

volume	19.068	A^3/atom
ΔH_f (0 K)	-306	meV/atom